1.
The following is a GGA-PBE calculation of crystalline NaEu2Te at its relaxed geometry, from Alexandria via LeMat-Bulk.

Cell and atoms, written as POSCAR:
```
NaEu2Te
1.0
4.146 0.000 0.000
0.000 4.146 0.000
0.000 0.000 8.053
Na Eu Te
1 2 1
direct
0.000 0.000 0.000
0.500 0.500 0.279
0.500 0.500 0.721
0.000 0.000 0.500
```

Output
crystal system: tetragonal
E_form (uncorrected): -15.697 kcal/mol of atoms

2.
The following is a GGA-PBE calculation of crystalline NaEuTe2 at its relaxed geometry, from Alexandria via LeMat-Bulk.

Cell and atoms, written as POSCAR:
```
NaEuTe2
1.0
4.049 0.000 0.000
0.000 4.049 0.000
0.000 0.000 7.495
Na Eu Te
1 1 2
direct
0.000 0.000 0.000
0.000 0.000 0.500
0.500 0.500 0.259
0.500 0.500 0.741
```

Output
crystal system: tetragonal
E_form (uncorrected): -24.569 kcal/mol of atoms

3.
The following is a GGA-PBE calculation of crystalline NaEu2Th at its relaxed geometry, from Alexandria via LeMat-Bulk.

Cell and atoms, written as POSCAR:
```
NaEu2Th
1.0
3.544 0.000 0.000
-1.772 3.069 0.000
0.000 0.000 40.532
Na Eu Th
3 6 3
direct
0.000 0.000 0.000
0.333 0.667 0.667
0.667 0.333 0.333
0.000 0.000 0.414
0.000 0.000 0.586
0.333 0.667 0.081
0.333 0.667 0.252
0.667 0.333 0.748
0.667 0.333 0.919
0.000 0.000 0.500
0.333 0.667 0.167
0.667 0.333 0.833
```

Output
energy of formation from the pure elements: 0.30 eV per atom
crystal system: trigonal
energy above the most stable polymorph in this dataset: 0.171 eV/atom

4.
The following is a GGA-PBE calculation of crystalline NaEu2Th at its relaxed geometry, from Alexandria via LeMat-Bulk.

Cell and atoms, written as POSCAR:
```
NaEu2Th
1.0
3.648 0.000 0.000
0.000 3.648 0.000
0.000 0.000 11.225
Na Eu Th
1 2 1
direct
0.000 0.000 0.000
0.500 0.500 0.267
0.500 0.500 0.733
0.000 0.000 0.500
```

Output
energy of formation from the pure elements: 0.13 eV per atom
crystal system: tetragonal
energy above the most stable polymorph in this dataset: 0.000 eV/atom